Record 1
First-principles (PBE) data for an optimized crystal structure of LiNpAg2I8, as listed in Alexandria. Values from VASP.

Properties
Mass density: 5.0 g/cm3
Uncorrected formation energy: -0.464 eV per atom

Structure (Quantum ESPRESSO input):
```
&SYSTEM
  ibrav = 0, nat = 12, ntyp = 4
/
ATOMIC_SPECIES
I 126.90 I.upf
Li 6.94 Li.upf
Ag 107.87 Ag.upf
Np 237.00 Np.upf
ATOMIC_POSITIONS crystal
I 0.896 0.697 0.200
I 0.303 0.104 0.800
I 0.966 0.279 0.313
I 0.347 0.034 0.313
I 0.497 0.697 0.800
I 0.966 0.653 0.687
I 0.721 0.034 0.687
I 0.303 0.503 0.200
Li 0.000 0.000 0.000
Ag 0.750 0.250 0.500
Ag 0.500 0.500 0.000
Np 0.250 0.750 0.500
CELL_PARAMETERS angstrom
-4.619 -4.702 5.496
8.216 0.001 2.482
-2.973 8.050 -0.101
```

=====

Record 2
First-principles (PBE) data for an optimized crystal structure of Sr4HgN, as listed in Alexandria. Values from VASP.

Properties
Mass density: 4.0 g/cm3
Energy relative to the lowest polymorph listed for this composition: 19 meV per atom
Uncorrected formation energy: -0.392 eV per atom

Structure (Quantum ESPRESSO input):
```
&SYSTEM
  ibrav = 0, nat = 24, ntyp = 3
/
ATOMIC_SPECIES
N 14.01 N.upf
Sr 87.62 Sr.upf
Hg 200.59 Hg.upf
ATOMIC_POSITIONS crystal
N 0.881 0.195 0.832
N 0.619 0.305 0.332
N 0.119 0.805 0.168
N 0.381 0.695 0.668
Sr 0.174 0.511 0.622
Sr 0.227 0.622 0.208
Sr 0.773 0.378 0.792
Sr 0.326 0.989 0.122
Sr 0.565 0.747 0.501
Sr 0.674 0.011 0.878
Sr 0.485 0.605 0.846
Sr 0.935 0.753 0.001
Sr 0.826 0.489 0.378
Sr 0.515 0.395 0.154
Sr 0.273 0.878 0.708
Sr 0.065 0.247 0.999
Sr 0.435 0.253 0.499
Sr 0.015 0.895 0.346
Sr 0.727 0.122 0.292
Sr 0.985 0.105 0.654
Hg 0.607 0.777 0.152
Hg 0.107 0.277 0.348
Hg 0.893 0.723 0.652
Hg 0.393 0.223 0.848
CELL_PARAMETERS angstrom
-4.730 1.189 8.252
-0.338 -9.832 -1.929
8.623 -1.303 5.131
```

=====

Number 1: raw total energy -0.1180 hartree per atom. Number 2: raw total energy -0.1084 hartree per atom.